Entry 1:
# CuTe2Cl

An optimized crystal structure of CuTe2Cl (PBE-GGA, Alexandria via LeMat-Bulk).

As for the raw formation energy: 127 meV per atom. For the size of the total moment, the calculation gives 0.0 μB/f.u. The calculation puts the electronic total energy at -2.9300 eV per atom.

The space group is I-42d (No. 122) and the conventional cell measures 5.475, 5.475 and 16.086 Å, with angles of 90.00, 90.00 and 90.00 degrees. The inequivalent atoms are Cu at (0.000, 0.000, 0.000), Te at (0.143, 0.250, 0.125) and Cl at (0.000, 0.000, 0.500).

=====

Entry 2:
# CuTe2Cl

An optimized crystal structure of CuTe2Cl (PBE-GGA, Alexandria via LeMat-Bulk).

As for the raw formation energy: 278 meV per atom. For the size of the total moment, the calculation gives 0.0 μB/f.u. The calculation puts the electronic total energy at -2.7787 eV per atom.

The space group is Pmmm (No. 47) and the conventional cell measures 3.300, 4.637 and 6.390 Å, with angles of 90.00, 90.00 and 90.00 degrees. The inequivalent atoms are Cu at (0.000, 0.000, 0.000), Te at (0.000, 0.500, 0.500), Te at (0.500, 0.500, 0.000) and Cl at (0.500, 0.000, 0.500).

=====

Entry 3:
# CuTe2Cl

An optimized crystal structure of CuTe2Cl (PBE-GGA, Alexandria via LeMat-Bulk).

As for the raw formation energy: 267 meV per atom. For the size of the total moment, the calculation gives 0.0 μB/f.u. The calculation puts the electronic total energy at -2.7894 eV per atom.

The space group is R-3m (No. 166, hexagonal axes) and the conventional cell measures 3.3305, 3.3305 and 30.3445 Å, with angles of 90.00, 90.00 and 120.00 degrees. The inequivalent atoms are Cu at (0.0000, 0.0000, 0.0000), Te at (0.0000, 0.0000, 0.0827) and Cl at (0.0000, 0.0000, 0.5000).

=====

Entry 4:
# CuTe2Cl6

An optimized crystal structure of CuTe2Cl6 (PBE-GGA, Alexandria via LeMat-Bulk).

As for the raw formation energy: -467 meV per atom. For the size of the total moment, the calculation gives 0.9 μB/f.u. The calculation puts the electronic total energy at -2.8513 eV per atom.

The space group is C2/c (No. 15) and the conventional cell measures 13.343, 15.707 and 5.697 Å, with angles of 90.00, 92.46 and 90.00 degrees. The inequivalent atoms are Cu at (0.000, 0.178, 0.250), Te at (0.244, 0.162, 0.711), Cl at (0.096, 0.092, 0.497), Cl at (0.108, 0.259, 0.034) and Cl at (0.137, 0.410, 0.512).

=====

Entry 5:
# CuTeCl2

An optimized crystal structure of CuTeCl2 (PBE-GGA, Alexandria via LeMat-Bulk).

As for the raw formation energy: 59 meV per atom. For the size of the total moment, the calculation gives 0.0 μB/f.u. The calculation puts the electronic total energy at -2.6739 eV per atom.

The space group is I-42d (No. 122) and the conventional cell measures 6.619, 6.619 and 9.653 Å, with angles of 90.00, 90.00 and 90.00 degrees. The inequivalent atoms are Cu at (0.000, 0.000, 0.000), Te at (0.000, 0.000, 0.500) and Cl at (0.149, 0.250, 0.125).

=====

Entry 6:
# CuTeCl2

An optimized crystal structure of CuTeCl2 (PBE-GGA, Alexandria via LeMat-Bulk).

As for the raw formation energy: -168 meV per atom. For the size of the total moment, the calculation gives 1.4 μB/f.u. The calculation puts the electronic total energy at -2.9009 eV per atom.

The space group is R-3m (No. 166, hexagonal axes) and the conventional cell measures 3.3705, 3.3705 and 30.9767 Å, with angles of 90.00, 90.00 and 120.00 degrees. The inequivalent atoms are Cu at (0.0000, 0.0000, 0.0000), Te at (0.0000, 0.0000, 0.5000) and Cl at (0.0000, 0.0000, 0.2874).

=====

- raw formation energy of number 1 (CuTe2Cl)?
  127 meV per atom

=====

Repeat the fifth record exactly.
# CuTeCl2

An optimized crystal structure of CuTeCl2 (PBE-GGA, Alexandria via LeMat-Bulk).

As for the raw formation energy: 59 meV per atom. For the size of the total moment, the calculation gives 0.0 μB/f.u. The calculation puts the electronic total energy at -2.6739 eV per atom.

The space group is I-42d (No. 122) and the conventional cell measures 6.619, 6.619 and 9.653 Å, with angles of 90.00, 90.00 and 90.00 degrees. The inequivalent atoms are Cu at (0.000, 0.000, 0.000), Te at (0.000, 0.000, 0.500) and Cl at (0.149, 0.250, 0.125).

=====

What did the fourth record say?
# CuTe2Cl6

An optimized crystal structure of CuTe2Cl6 (PBE-GGA, Alexandria via LeMat-Bulk).

As for the raw formation energy: -467 meV per atom. For the size of the total moment, the calculation gives 0.9 μB/f.u. The calculation puts the electronic total energy at -2.8513 eV per atom.

The space group is C2/c (No. 15) and the conventional cell measures 13.343, 15.707 and 5.697 Å, with angles of 90.00, 92.46 and 90.00 degrees. The inequivalent atoms are Cu at (0.000, 0.178, 0.250), Te at (0.244, 0.162, 0.711), Cl at (0.096, 0.092, 0.497), Cl at (0.108, 0.259, 0.034) and Cl at (0.137, 0.410, 0.512).